First-principles (PBE) data for a relaxed Sm14ErAl crystal, as listed in Alexandria.

Cell and atoms, written as POSCAR:
```
Sm14ErAl
1.0
11.2117 0.0000 0.0000
0.0000 4.1941 5.5278
0.0000 -4.1941 5.5278
Sm Er Al
14 1 1
direct
0.0000 0.0000 0.0000
0.0000 0.4319 0.4319
0.0000 0.5041 0.9268
0.0000 0.9268 0.5041
0.2422 0.7954 0.7954
0.2660 0.2305 0.2305
0.2683 0.3031 0.7156
0.2683 0.7156 0.3031
0.5000 0.5166 0.9408
0.5000 0.9408 0.5166
0.7317 0.3031 0.7156
0.7317 0.7156 0.3031
0.7340 0.2305 0.2305
0.7578 0.7954 0.7954
0.5000 0.9989 0.9989
0.5000 0.4450 0.4450
```

## Properties
- size of the total moment (Bohr magnetons per cell) = 0.00
- DFT total energy (eV/cell) = -74.05